P:
ZnTc2Pb at its PBEsol-relaxed geometry. Source: Alexandria via LeMat-Bulk, functional SCAN.

Cell lengths 8.8130, 2.9857, 5.0816 Å; angles 90.00, 101.33, 90.00 degrees
Space group C2/m (No. 12)
Inequivalent atoms, fractional coordinates:
Zn1 0.0000 0.0000 0.0000 [2 per cell]
Tc1 0.2447 0.5000 0.2067 [4 per cell]
Pb1 0.0000 0.5000 0.5000 [2 per cell]

Its total magnetization is 0.0 μB/cell.

***

Q:
ZnTc2Pb at its PBEsol-relaxed geometry. Source: Alexandria via LeMat-Bulk, functional SCAN.

Cell lengths 4.0000, 4.0000, 8.0483 Å; angles 90.00, 90.00, 90.00 degrees
Space group I4/mmm (No. 139)
Inequivalent atoms, fractional coordinates:
Zn1 0.0000 0.0000 0.0000 [2 per cell]
Tc1 0.0000 0.5000 0.2500 [4 per cell]
Pb1 0.0000 0.0000 0.5000 [2 per cell]

Its total magnetization is 7.3 μB/cell.

***

Which structure is the most stable? The one labeled P.